VASP calculation (PBE) on an optimized crystal structure of Pr3Nd12Pu.

Output
mass density	7.1	g/cm³
crystal system	tetragonal
D(E_F)	32.89	states/eV/cell
ΔH_f (0 K)	43	meV per atom

abc: 5.1978 5.1978 20.7217
angles: 90.00 90.00 90.00
Last column: nearest neighbours and their distance in Å.
Space group P4/mmm (No. 123)
Asymmetric unit:
Pr 0.0000 0.0000 0.0000 x1  12 Nd 3.68-3.69
Pr 0.0000 0.0000 0.2525 x2  12 Nd 3.68-3.71
Nd 0.0000 0.5000 0.1267 x4  8 Nd 3.68-3.69, 4 Pr 3.68-3.69
Nd 0.0000 0.5000 0.3802 x4  8 Nd 3.59-3.70, 2 Pu 3.59, 2 Pr 3.71
Nd 0.5000 0.5000 0.0000 x1  4 Pr 3.68, 8 Nd 3.69
Nd 0.5000 0.5000 0.2528 x2  4 Pr 3.68, 8 Nd 3.69-3.70
Nd 0.5000 0.5000 0.5000 x1  8 Nd 3.59, 4 Pu 3.68
Pu 0.0000 0.0000 0.5000 x1  12 Nd 3.59-3.68

VASP calculation (PBE) on an optimized crystal structure of InRe2Si4.

Output
mass density	6.7	g/cm³
crystal system	tetragonal
D(E_F)	13.39	states/eV/cell
formation energy from raw total energies	9.9	eV per formula unit

abc: 4.8947 4.8947 12.4791
angles: 90.00 90.00 90.00
Last column: nearest neighbours and their distance in Å.
Space group I4/mmm (No. 139)
Asymmetric unit:
In 0.0000 0.0000 0.0000 x2  6 Si 2.45-2.70
Re 0.0000 0.0000 0.4037 x4  1 Si 2.34, 1 Re 2.40
Si 0.0000 0.0000 0.2162 x4  1 Re 2.34
Si 0.0000 0.5000 0.0000 x4  2 In 2.45, 4 Re 2.73

VASP calculation (PBE) on an optimized crystal structure of CuAs2Se.

Output
mass density	6.1	g/cm³
crystal system	tetragonal
D(E_F)	1.99	states/eV/cell
formation energy from raw total energies	0.9	eV per formula unit

abc: 2.7381 2.7381 10.6618
angles: 90.00 90.00 90.00
Last column: nearest neighbours and their distance in Å.
Space group P4/mmm (No. 123)
Asymmetric unit:
Cu 0.0000 0.0000 0.0000 x1  8 As 2.71, 4 Cu 2.74
As 0.5000 0.5000 0.1784 x2  4 Cu 2.71, 4 As 2.74
Se 0.0000 0.0000 0.5000 x1  4 Se 2.74

VASP calculation (PBE) on an optimized crystal structure of PaNi3Ge2.

Output
mass density	10.0	g/cm³
crystal system	orthorhombic
D(E_F)	11.18	states/eV/cell
ΔH_f (0 K)	-114	meV per atom

abc: 4.2740 14.0401 3.0677
angles: 90.00 90.00 90.00
Last column: nearest neighbours and their distance in Å.
Space group Cmmm (No. 65)
Asymmetric unit:
Pa 0.0000 0.0000 0.0000 x2  4 Ni 2.63
Ni 0.0000 0.1927 0.5000 x4  6 Ge 2.54-2.66, 2 Ni 2.67
Ni 0.0000 0.5000 0.5000 x2  4 Pa 2.63, 4 Ge 2.76
Ge 0.0000 0.3369 0.0000 x4  8 Ni 2.54-2.76

VASP calculation (PBE) on an optimized crystal structure of NpGeSb.

Output
mass density	10.2	g/cm³
crystal system	orthorhombic
D(E_F)	26.26	states/eV/cell
formation energy from raw total energies	-0.7	eV per formula unit

abc: 4.4290 15.6096 4.0642
angles: 90.00 90.00 90.00
Last column: nearest neighbours and their distance in Å.
Space group Cmcm (No. 63)
Asymmetric unit:
Np 0.0000 0.0923 0.2500 x4  6 Ge 3.06-3.19, 4 Sb 3.23-3.28
Ge 0.0000 0.4454 0.2500 x4  2 Ge 2.65
Sb 0.0000 0.2528 0.7500 x4  4 Sb 3.01, 4 Np 3.23-3.28

VASP calculation (PBE) on an optimized crystal structure of BeTl2AgAs2.

Output
mass density	8.0	g/cm³
crystal system	orthorhombic
D(E_F)	10.72	states/eV/cell
ΔH_f (0 K)	23	meV per atom

abc: 5.6738 17.2142 5.7377
angles: 90.00 90.00 90.00
Last column: nearest neighbours and their distance in Å.
Space group Ibam (No. 72)
Asymmetric unit:
Be 0.0000 0.0000 0.2500 x4  4 As 2.36
Tl 0.2104 0.3259 0.0000 x8  4 As 3.10-3.29
Ag 0.0000 0.5000 0.2500 x4  4 As 2.73, 2 Be 2.84, 2 Ag 2.87
As 0.1909 0.0890 0.0000 x8  2 Be 2.36